# ZrMn2Ir2 meta-GGA SCAN PBEsol geometry
# - Total energy: -423.157 eV per cell
# - E_form: -0.434 eV per atom
# - Size of the total moment: 5.45 μB per formula unit
data_ZrMn2Ir2
_chemical_formula_sum 'Zr2 Mn4 Ir4'
_symmetry_space_group_name_H-M 'I 4/m m m'
_symmetry_Int_Tables_number 139
_symmetry_space_group_name_Hall '-I 4 2'
_cell_length_a 3.900
_cell_length_b 3.900
_cell_length_c 10.461
_cell_angle_alpha 90.00
_cell_angle_beta 90.00
_cell_angle_gamma 90.00
loop_
_atom_site_label
_atom_site_fract_x
_atom_site_fract_y
_atom_site_fract_z
Zr1 0.000 0.000 0.000
Mn1 0.000 0.500 0.250
Ir1 0.000 0.000 0.385